Nd2Al | PBE-GGA | relaxed

a b c (Å): 3.534 3.534 7.481
angles (deg): 103.66 103.66 90.00
Atoms (fractional coordinates):
Al1 0.000 0.000 0.000
Nd1 0.645 0.645 0.290
Nd2 0.355 0.355 0.710

DOS(E_F) (states/eV/f.u.): 2.7
Calculated volume (Å³/cell): 88.0
Energy (Ry per atom): -0.33985

=====

Sb2TeWS | PBE-GGA | relaxed

a b c (Å): 5.100 5.100 5.046
angles (deg): 90.00 90.00 90.00
Each line ends with the local moment (μB).
Atoms (fractional coordinates):
Sb1 0.000 0.500 0.000  -0.12
S1 0.000 0.000 0.000  -0.01
Sb2 0.500 0.000 0.000  -0.12
Te1 0.000 0.000 0.500  -0.08
W1 0.500 0.500 0.500  2.45

Energy relative to the elements, uncorrected (eV per atom): 1.324
DOS(E_F) (states/eV/f.u.): 2.6
Calculated volume (Å³/cell): 131.3

=====

La2Pr3ThS6 | PBE-GGA | relaxed

a b c (Å): 4.113 8.219 9.184
angles (deg): 102.93 102.94 90.00
Atoms (fractional coordinates):
La1 0.835 0.669 0.670
S1 0.335 0.918 0.669
S2 0.999 0.246 0.997
Pr1 0.167 0.835 0.334
S3 0.665 0.082 0.331
S4 0.333 0.415 0.665
La2 0.165 0.331 0.330
S5 0.667 0.585 0.335
Pr2 0.833 0.165 0.666
Pr3 0.500 0.500 0.000
S6 0.001 0.754 0.003
Th1 0.500 0.000 0.000

Energy relative to the elements, uncorrected (eV per atom): -2.034
DOS(E_F) (states/eV/f.u.): 6.8
Calculated volume (Å³/cell): 294.5